This record from the Alexandria database describes a relaxed CaSm3Al8 crystal. The functional is PBE.

## Properties
E_form, kJ per mole of atoms: -45
Calculated volume, Å³/atom: 21.17
VASP energy, eV/atom: -4.3042

Lattice parameters (Å, degrees): 5.6362 5.6362 27.7002 90.00 90.00 120.00
Last column: nearest neighbours and their distance in Å.
Space group R3m (No. 160, hexagonal axes)
One atom of each set of equivalent atoms:
Ca (0.0000, 0.0000, 0.0000) [3 per cell]  12 Al 3.31-3.34, 4 Sm 3.42-3.45
Sm (0.0000, 0.0000, 0.1233) [3 per cell]  12 Al 3.28-3.33, 1 Ca 3.42, 3 Sm 3.46
Sm (0.0000, 0.0000, 0.4995) [3 per cell]  12 Al 3.29-3.31, 4 Sm 3.46-3.49
Sm (0.0000, 0.0000, 0.6255) [3 per cell]  12 Al 3.30-3.33, 3 Ca 3.45, 1 Sm 3.49
Al (0.0000, 0.0000, 0.3124) [3 per cell]  6 Al 2.83-2.84
Al (0.0000, 0.0000, 0.8119) [3 per cell]  6 Al 2.80-2.82
Al (0.0010, 0.5005, 0.0630) [9 per cell]  6 Al 2.80-2.83
Al (0.1672, 0.3344, 0.8949) [9 per cell]  6 Al 2.81-2.84